No. 1
The following is a meta-GGA SCAN calculation of Li2ScSb at its PBEsol-relaxed geometry, from Alexandria.

total magnetic moment	0.0	Bohr magnetons per cell
crystal system	monoclinic
raw formation energy	-0.39	eV/atom

Cell: 5.3778 5.3778 4.1624 Å, 103.40 103.40 44.47°
With the nearest neighbours (Å) after each atom.
Fractional coordinates of all 4 atoms:
Li: 0.2501 0.2501 0.2227  4 Li 2.75-3.08, 1 Sb 2.86, 1 Sc 2.99
Li: 0.7499 0.7499 0.7773  4 Li 2.75-3.08, 1 Sb 2.86, 1 Sc 2.99
Sc: 0.0000 0.0000 0.5000  4 Sb 2.91, 6 Li 2.99-3.20
Sb: 0.5000 0.5000 0.0000  6 Li 2.86-3.17, 4 Sc 2.91

***

No. 2
The following is a meta-GGA SCAN calculation of Al2Ag at its PBEsol-relaxed geometry, from Alexandria.

total magnetic moment	0.0	Bohr magnetons per cell
crystal system	monoclinic
E_form	-0.049	eV/atom

Cell: 4.9064 2.9043 6.8192 Å, 90.00 90.49 90.00°
With the nearest neighbours (Å) after each atom.
Fractional coordinates of all 6 atoms:
Al: 0.0000 0.0000 0.0000  2 Ag 2.77, 10 Al 2.82-2.90
Al: 0.1729 0.5000 0.3327  6 Al 2.79-2.90, 6 Ag 2.81-2.86
Al: 0.5000 0.5000 0.0000  8 Al 2.79-2.90, 4 Ag 2.81
Al: 0.8271 0.5000 0.6673  6 Al 2.79-2.90, 6 Ag 2.81-2.86
Ag: 0.3255 0.0000 0.6694  9 Al 2.77-2.86, 3 Ag 2.89-2.90
Ag: 0.6745 0.0000 0.3306  9 Al 2.77-2.86, 3 Ag 2.89-2.90

***

No. 3
The following is a meta-GGA SCAN calculation of Mg2ZnIr2 at its PBEsol-relaxed geometry, from Alexandria.

total magnetic moment	0.9	Bohr magnetons per cell
crystal system	tetragonal
E_form	-0.403	eV/atom

Cell: 6.3789 6.3789 4.0404 Å, 90.00 90.00 90.00°
With the nearest neighbours (Å) after each atom.
Fractional coordinates of all 10 atoms:
Mg: 0.1659 0.3341 0.0000  6 Ir 2.69-2.81, 1 Mg 2.99
Mg: 0.3341 0.8341 0.0000  6 Ir 2.69-2.81, 1 Mg 2.99
Mg: 0.6659 0.1659 0.0000  6 Ir 2.69-2.81, 1 Mg 2.99
Mg: 0.8341 0.6659 0.0000  6 Ir 2.69-2.81, 1 Mg 2.99
Zn: 0.0000 0.0000 0.5000  4 Ir 2.47
Zn: 0.5000 0.5000 0.5000  4 Ir 2.47
Ir: 0.1380 0.6380 0.5000  2 Zn 2.47, 1 Ir 2.49, 2 Mg 2.69
Ir: 0.3620 0.1380 0.5000  2 Zn 2.47, 1 Ir 2.49, 2 Mg 2.69
Ir: 0.6380 0.8620 0.5000  2 Zn 2.47, 1 Ir 2.49, 2 Mg 2.69
Ir: 0.8620 0.3620 0.5000  2 Zn 2.47, 1 Ir 2.49, 2 Mg 2.69

***

No. 4
The following is a meta-GGA SCAN calculation of ScCoPb3 at its PBEsol-relaxed geometry, from Alexandria.

total magnetic moment	1.0	Bohr magnetons per cell
crystal system	cubic
E_form	0.307	eV/atom

Cell: 4.9981 4.9981 4.9981 Å, 90.00 90.00 90.00°
With the nearest neighbours (Å) after each atom.
Fractional coordinates of all 5 atoms:
Sc: 0.0000 0.0000 0.0000  12 Pb 3.53
Co: 0.5000 0.5000 0.5000  6 Pb 2.50
Pb: 0.0000 0.5000 0.5000  2 Co 2.50
Pb: 0.5000 0.0000 0.5000  2 Co 2.50
Pb: 0.5000 0.5000 0.0000  2 Co 2.50

***

No. 5
The following is a meta-GGA SCAN calculation of CaSc3Be at its PBEsol-relaxed geometry, from Alexandria.

total magnetic moment	1.0	Bohr magnetons per cell
crystal system	cubic
E_form	0.253	eV/atom

Cell: 4.9855 4.9855 4.9855 Å, 90.00 90.00 90.00°
With the nearest neighbours (Å) after each atom.
Fractional coordinates of all 5 atoms:
Ca: 0.0000 0.0000 0.0000  12 Sc 3.53
Sc: 0.0000 0.5000 0.5000  2 Be 2.49
Sc: 0.5000 0.0000 0.5000  2 Be 2.49
Sc: 0.5000 0.5000 0.0000  2 Be 2.49
Be: 0.5000 0.5000 0.5000  6 Sc 2.49

***

No. 6
The following is a meta-GGA SCAN calculation of Li2TlSb2 at its PBEsol-relaxed geometry, from Alexandria.

total magnetic moment	0.0	Bohr magnetons per cell
crystal system	tetragonal
raw formation energy	-0.27	eV/atom
offset from the most stable computed form	44	meV/atom

Cell: 6.5970 6.5970 6.5970 Å, 138.09 138.09 60.76°
With the nearest neighbours (Å) after each atom.
Fractional coordinates of all 5 atoms:
Li: 0.2500 0.7500 0.5000  4 Sb 2.79
Li: 0.7500 0.2500 0.5000  4 Sb 2.79
Tl: 0.0000 0.0000 0.0000  8 Sb 3.60, 8 Li 3.70
Sb: 0.3809 0.3809 0.0000  1 Sb 2.71, 4 Li 2.79
Sb: 0.6191 0.6191 0.0000  1 Sb 2.71, 4 Li 2.79

***

No. 7
The following is a meta-GGA SCAN calculation of BaCrRh2 at its PBEsol-relaxed geometry, from Alexandria.

total magnetic moment	4.0	Bohr magnetons per cell
crystal system	tetragonal
E_form	0.504	eV/atom
offset from the most stable computed form	103	meV/atom

Cell: 4.8549 4.8549 3.1919 Å, 90.00 90.00 90.00°
With the nearest neighbours (Å) after each atom.
Fractional coordinates of all 4 atoms:
Ba: 0.0000 0.0000 0.0000  8 Rh 2.91, 2 Ba 3.19
Cr: 0.5000 0.5000 0.0000  8 Rh 2.91, 2 Cr 3.19
Rh: 0.0000 0.5000 0.5000  4 Cr 2.91, 4 Ba 2.91, 2 Rh 3.19
Rh: 0.5000 0.0000 0.5000  4 Cr 2.91, 4 Ba 2.91, 2 Rh 3.19

***

No. 8
The following is a meta-GGA SCAN calculation of Zn4CdSb at its PBEsol-relaxed geometry, from Alexandria.

total magnetic moment	0.0	Bohr magnetons per cell
crystal system	cubic
raw formation energy	0.17	eV/atom

Cell: 5.3070 5.3070 5.3070 Å, 60.00 60.00 60.00°
With the nearest neighbours (Å) after each atom.
Fractional coordinates of all 6 atoms:
Zn: 0.1242 0.1242 0.1242  6 Zn 2.64-2.67
Zn: 0.1242 0.1242 0.6274  6 Zn 2.64-2.67
Zn: 0.1242 0.6274 0.1242  6 Zn 2.64-2.67
Zn: 0.6274 0.1242 0.1242  6 Zn 2.64-2.67
Cd: 0.7500 0.7500 0.7500  12 Zn 3.11, 4 Sb 3.25
Sb: 0.5000 0.5000 0.5000  12 Zn 3.11, 4 Cd 3.25

***

> The highest total magnetic moment belongs to which entry?

BaCrRh2

***

> Which value of total magnetic moment does entry 4 give?

1.0 Bohr magnetons per cell

***

> Which of these has the highest total magnetic moment?

BaCrRh2